DFT (GGA-PBE) results for a relaxed structure of HoRe2N6.

Cell lengths 6.2873, 7.4244, 7.4244 Å; angles 85.23, 75.21, 75.21 degrees
Last column: magnetic moment on the atom in μB.
Atoms (fractional coordinates):
Ho 0.2500 0.0915 0.9085  -0.01
Ho 0.7500 0.9085 0.0915  -0.01
Re 0.2476 0.6235 0.7808  -0.10
Re 0.2524 0.2192 0.3765  -0.10
Re 0.7524 0.3765 0.2192  -0.10
Re 0.7476 0.7808 0.6235  -0.10
N 0.5404 0.6338 0.6468  0.13
N 0.9596 0.3532 0.3662  0.13
N 0.4596 0.3662 0.3532  0.13
N 0.0404 0.6468 0.6338  0.13
N 0.7679 0.8902 0.4016  0.21
N 0.7321 0.5984 0.1098  0.21
N 0.2321 0.1098 0.5984  0.21
N 0.2679 0.4016 0.8902  0.21
N 0.1386 0.8035 0.9508  0.10
N 0.3614 0.0492 0.1965  0.10
N 0.8614 0.1965 0.0492  0.10
N 0.6386 0.9508 0.8035  0.10

Values from the calculation:
Formation energy without anion corrections in eV/atom: -0.0829
Raw total energy in eV per atom: -8.91

DFT (GGA-PBE) results for a relaxed structure of Ho2ReN5.

Cell lengths 3.9078, 6.2424, 10.8230 Å; angles 90.00, 90.00, 108.24 degrees
Atoms (fractional coordinates):
Ho 0.8530 0.7059 0.4321
Ho 0.8530 0.7059 0.0679
Ho 0.1470 0.2941 0.5679
Ho 0.1470 0.2941 0.9321
Re 0.8565 0.7130 0.7500
Re 0.1435 0.2870 0.2500
N 0.9544 0.9088 0.8752
N 0.9544 0.9088 0.6248
N 0.2750 0.5499 0.4028
N 0.2750 0.5499 0.0972
N 0.7063 0.4126 0.2500
N 0.2937 0.5874 0.7500
N 0.7250 0.4501 0.5972
N 0.7250 0.4501 0.9028
N 0.0456 0.0912 0.1248
N 0.0456 0.0912 0.3752

Values from the calculation:
Formation energy without anion corrections in eV/atom: -0.3347
Raw total energy in eV per atom: -8.24

DFT (GGA-PBE) results for a relaxed structure of HoRe2N4.

Cell lengths 5.4059, 5.4059, 5.4059 Å; angles 104.41, 104.41, 120.14 degrees
Atoms (fractional coordinates):
Ho 0.5000 0.5000 0.0000
Re 0.2500 0.7500 0.5000
Re 0.7500 0.2500 0.5000
N 0.3816 0.1747 0.5564
N 0.8253 0.3816 0.2069
N 0.1747 0.6184 0.7931
N 0.6184 0.8253 0.4436

Values from the calculation:
Formation energy without anion corrections in eV/atom: -0.1686
Raw total energy in eV per atom: -9.14
Energy relative to the lowest polymorph listed for this composition in kJ/mol of atoms: 25.0

Number 1: volume 17.996 Å³ per atom, magnetic moment 1.05 μB/f.u.. Number 2: volume 15.672 Å³ per atom, magnetic moment 0.08 μB/f.u.. Number 3: volume 16.914 Å³ per atom, magnetic moment 0.00 μB/f.u..